[1]
A relaxed structure of Tb7Pm12Pb, computed with PBE-GGA.

abc: 8.9447 8.9447 8.9447
angles: 81.76 81.76 81.76
With the nearest neighbours (Å) after each atom.
Atoms (fractional coordinates):
Tb: 0.0000 0.0000 0.0000  6 Pm 3.05
Tb: 0.0419 0.3592 0.3592  7 Pm 3.58-3.75, 3 Tb 3.72-3.74
Tb: 0.3592 0.0419 0.3592  7 Pm 3.58-3.75, 3 Tb 3.72-3.74
Tb: 0.3592 0.3592 0.0419  7 Pm 3.58-3.75, 3 Tb 3.72-3.74
Tb: 0.6408 0.6408 0.9581  7 Pm 3.58-3.75, 3 Tb 3.72-3.74
Tb: 0.6408 0.9581 0.6408  7 Pm 3.58-3.75, 3 Tb 3.72-3.74
Tb: 0.9581 0.6408 0.6408  7 Pm 3.58-3.75, 3 Tb 3.72-3.74
Pm: 0.0367 0.0367 0.6529  1 Tb 3.05, 2 Pm 3.08-3.36
Pm: 0.0367 0.6529 0.0367  1 Tb 3.05, 2 Pm 3.08-3.36
Pm: 0.2811 0.2811 0.6806  1 Pb 3.09, 1 Pm 3.36
Pm: 0.2811 0.6806 0.2811  1 Pb 3.09, 1 Pm 3.36
Pm: 0.3194 0.7189 0.7189  1 Pb 3.09, 1 Pm 3.36
Pm: 0.3471 0.9633 0.9633  1 Tb 3.05, 2 Pm 3.08-3.36
Pm: 0.6529 0.0367 0.0367  1 Tb 3.05, 2 Pm 3.08-3.36
Pm: 0.6806 0.2811 0.2811  1 Pb 3.09, 1 Pm 3.36
Pm: 0.7189 0.3194 0.7189  1 Pb 3.09, 1 Pm 3.36
Pm: 0.7189 0.7189 0.3194  1 Pb 3.09, 1 Pm 3.36
Pm: 0.9633 0.3471 0.9633  1 Tb 3.05, 2 Pm 3.08-3.36
Pm: 0.9633 0.9633 0.3471  1 Tb 3.05, 2 Pm 3.08-3.36
Pb: 0.5000 0.5000 0.5000  6 Pm 3.09

Calculated values
Space-group type ... R-3m (166)
D(E_F) ... 28.1 states/eV/f.u.
Raw total energy ... -90.09 eV/cell

***

[2]
A relaxed structure of Tb4Pm4Pb, computed with PBE-GGA.

abc: 8.0629 8.0629 8.0629
angles: 95.30 95.30 144.63
With the nearest neighbours (Å) after each atom.
Atoms (fractional coordinates):
Tb: 0.1610 0.1610 0.3219  2 Pb 3.48, 4 Tb 3.50-3.67, 6 Pm 3.55-3.68
Tb: 0.1610 0.8390 0.0000  2 Pb 3.48, 4 Tb 3.50-3.67, 6 Pm 3.55-3.68
Tb: 0.8390 0.1610 0.0000  2 Pb 3.48, 4 Tb 3.50-3.67, 6 Pm 3.55-3.68
Tb: 0.8390 0.8390 0.6781  2 Pb 3.48, 4 Tb 3.50-3.67, 6 Pm 3.55-3.68
Pm: 0.1660 0.5000 0.6660  5 Pm 3.54-3.61, 6 Tb 3.55-3.68, 1 Pb 3.63
Pm: 0.5000 0.1660 0.6660  5 Pm 3.54-3.61, 6 Tb 3.55-3.68, 1 Pb 3.63
Pm: 0.5000 0.8340 0.3340  5 Pm 3.54-3.61, 6 Tb 3.55-3.68, 1 Pb 3.63
Pm: 0.8340 0.5000 0.3340  5 Pm 3.54-3.61, 6 Tb 3.55-3.68, 1 Pb 3.63
Pb: 0.5000 0.5000 0.0000  8 Tb 3.48, 4 Pm 3.63

Calculated values
Energy above the lowest structure with this stoichiometry ... 0 meV/atom
Space-group type ... I4/mmm (139)
D(E_F) ... 13.3 states/eV/f.u.
Raw total energy ... -42.03 eV/cell

***

[3]
A relaxed structure of TbPm8Pb6, computed with PBE-GGA.

abc: 8.5924 8.5924 8.5924
angles: 66.22 66.22 66.22
With the nearest neighbours (Å) after each atom.
Atoms (fractional coordinates):
Tb: 0.0000 0.0000 0.0000  6 Pb 3.39, 6 Pm 3.76
Pm: 0.1022 0.4387 0.7675  5 Pb 3.19-3.43
Pm: 0.2325 0.8978 0.5613  5 Pb 3.19-3.43
Pm: 0.3336 0.3336 0.3336  6 Pb 3.43-3.44, 6 Pm 3.74
Pm: 0.4387 0.7675 0.1022  5 Pb 3.19-3.43
Pm: 0.5613 0.2325 0.8978  5 Pb 3.19-3.43
Pm: 0.6664 0.6664 0.6664  6 Pb 3.43-3.44, 6 Pm 3.74
Pm: 0.7675 0.1022 0.4387  5 Pb 3.19-3.43
Pm: 0.8978 0.5613 0.2325  5 Pb 3.19-3.43
Pb: 0.0691 0.7388 0.3986  7 Pm 3.19-3.44, 1 Tb 3.39
Pb: 0.2612 0.6014 0.9309  7 Pm 3.19-3.44, 1 Tb 3.39
Pb: 0.3986 0.0691 0.7388  7 Pm 3.19-3.44, 1 Tb 3.39
Pb: 0.6014 0.9309 0.2612  7 Pm 3.19-3.44, 1 Tb 3.39
Pb: 0.7388 0.3986 0.0691  7 Pm 3.19-3.44, 1 Tb 3.39
Pb: 0.9309 0.2612 0.6014  7 Pm 3.19-3.44, 1 Tb 3.39

Calculated values
Space-group type ... R-3 (148)
D(E_F) ... 10.8 states/eV/f.u.
Raw total energy ... -70.76 eV/cell

***

[4]
A relaxed structure of TbPm3Pb, computed with PBE-GGA.

abc: 9.0909 8.7356 9.7644
angles: 90.00 121.59 90.00
With the nearest neighbours (Å) after each atom.
Atoms (fractional coordinates):
Tb: 0.2238 0.0644 0.4379  2 Pb 3.15-3.38, 2 Pm 3.51-3.52
Tb: 0.2238 0.4356 0.9379  2 Pb 3.15-3.38, 2 Pm 3.51-3.52
Tb: 0.7762 0.5644 0.0621  2 Pb 3.15-3.38, 2 Pm 3.51-3.52
Tb: 0.7762 0.9356 0.5621  2 Pb 3.15-3.38, 2 Pm 3.51-3.52
Pm: 0.0860 0.6981 0.5457  2 Pb 3.47-3.52, 4 Pm 3.54-3.78, 2 Tb 3.57-3.78
Pm: 0.0860 0.8019 0.0457  2 Pb 3.47-3.52, 4 Pm 3.54-3.78, 2 Tb 3.57-3.78
Pm: 0.2086 0.0629 0.7906  2 Pb 3.20-3.49, 1 Pm 3.47, 3 Tb 3.52-3.53
Pm: 0.2086 0.4371 0.2906  2 Pb 3.20-3.49, 1 Pm 3.47, 3 Tb 3.52-3.53
Pm: 0.4151 0.0837 0.2058  2 Pb 3.16-3.17, 1 Pm 3.47, 1 Tb 3.51
Pm: 0.4151 0.4163 0.7058  2 Pb 3.16-3.17, 1 Pm 3.47, 1 Tb 3.51
Pm: 0.5849 0.5837 0.2942  2 Pb 3.16-3.17, 1 Pm 3.47, 1 Tb 3.51
Pm: 0.5849 0.9163 0.7942  2 Pb 3.16-3.17, 1 Pm 3.47, 1 Tb 3.51
Pm: 0.7914 0.5629 0.7094  2 Pb 3.20-3.49, 1 Pm 3.47, 3 Tb 3.52-3.53
Pm: 0.7914 0.9371 0.2094  2 Pb 3.20-3.49, 1 Pm 3.47, 3 Tb 3.52-3.53
Pm: 0.9140 0.1981 0.9543  2 Pb 3.47-3.52, 4 Pm 3.54-3.78, 2 Tb 3.57-3.78
Pm: 0.9140 0.3019 0.4543  2 Pb 3.47-3.52, 4 Pm 3.54-3.78, 2 Tb 3.57-3.78
Pb: 0.4037 0.7485 0.9543  2 Tb 3.15-3.38, 6 Pm 3.16-3.52
Pb: 0.4037 0.7515 0.4543  2 Tb 3.15-3.38, 6 Pm 3.16-3.52
Pb: 0.5963 0.2485 0.5457  2 Tb 3.15-3.38, 6 Pm 3.16-3.52
Pb: 0.5963 0.2515 0.0457  2 Tb 3.15-3.38, 6 Pm 3.16-3.52

Calculated values
Space-group type ... P2_1/c (14)
D(E_F) ... 5.4 states/eV/f.u.
Raw total energy ... -93.72 eV/cell

***

[5]
A relaxed structure of Tb2Pm3Pb6, computed with PBE-GGA.

abc: 11.9824 11.9824 11.9824
angles: 151.38 151.38 40.92
With the nearest neighbours (Å) after each atom.
Atoms (fractional coordinates):
Tb: 0.0747 0.0747 0.0000  5 Pb 2.96-3.00
Tb: 0.9253 0.9253 0.0000  5 Pb 2.96-3.00
Pm: 0.3484 0.3484 0.0000  5 Pb 3.15-3.40, 1 Pm 3.40
Pm: 0.5000 0.5000 0.0000  2 Pm 3.40, 8 Pb 3.43
Pm: 0.6516 0.6516 0.0000  5 Pb 3.15-3.40, 1 Pm 3.40
Pb: 0.0770 0.5770 0.5000  2 Tb 2.96
Pb: 0.2082 0.2082 0.0000  1 Tb 3.00, 1 Pm 3.15
Pb: 0.4230 0.9230 0.5000  2 Tb 2.96
Pb: 0.5770 0.0770 0.5000  2 Tb 2.96
Pb: 0.7918 0.7918 0.0000  1 Tb 3.00, 1 Pm 3.15
Pb: 0.9230 0.4230 0.5000  2 Tb 2.96

Calculated values
Space-group type ... I4/mmm (139)
D(E_F) ... 7.4 states/eV/f.u.
Raw total energy ... -47.05 eV/cell

***

[6]
A relaxed structure of Tb8Pm6Pb, computed with PBE-GGA.

abc: 9.4038 9.4038 6.5231
angles: 90.00 90.00 120.00
With the nearest neighbours (Å) after each atom.
Atoms (fractional coordinates):
Tb: 0.0371 0.7723 0.1816  1 Pb 3.13, 3 Tb 3.33-3.40, 1 Pm 3.35
Tb: 0.2277 0.2648 0.1816  1 Pb 3.13, 3 Tb 3.33-3.40, 1 Pm 3.35
Tb: 0.2648 0.0371 0.8184  1 Pb 3.13, 3 Tb 3.33-3.40, 1 Pm 3.35
Tb: 0.3333 0.6667 0.1475  3 Tb 3.40, 6 Pm 3.76-3.77
Tb: 0.6667 0.3333 0.8525  3 Tb 3.40, 6 Pm 3.76-3.77
Tb: 0.7352 0.9629 0.1816  1 Pb 3.13, 3 Tb 3.33-3.40, 1 Pm 3.35
Tb: 0.7723 0.7352 0.8184  1 Pb 3.13, 3 Tb 3.33-3.40, 1 Pm 3.35
Tb: 0.9629 0.2277 0.8184  1 Pb 3.13, 3 Tb 3.33-3.40, 1 Pm 3.35
Pm: 0.0909 0.6427 0.6756  1 Pm 3.28, 5 Tb 3.35-3.64
Pm: 0.3573 0.4482 0.6756  1 Pm 3.28, 5 Tb 3.35-3.64
Pm: 0.4482 0.0909 0.3244  1 Pm 3.28, 5 Tb 3.35-3.64
Pm: 0.5518 0.9091 0.6756  1 Pm 3.28, 5 Tb 3.35-3.64
Pm: 0.6427 0.5518 0.3244  1 Pm 3.28, 5 Tb 3.35-3.64
Pm: 0.9091 0.3573 0.3244  1 Pm 3.28, 5 Tb 3.35-3.64
Pb: 0.0000 0.0000 0.5000  6 Tb 3.13

Calculated values
Space-group type ... P-3 (147)
D(E_F) ... 18.7 states/eV/f.u.
Raw total energy ... -68.31 eV/cell

***

[7]
A relaxed structure of Tb6Pm8Pb, computed with PBE-GGA.

abc: 9.3508 9.3508 6.6041
angles: 90.00 90.00 120.00
With the nearest neighbours (Å) after each atom.
Atoms (fractional coordinates):
Tb: 0.0960 0.6494 0.1648  1 Tb 3.28, 4 Pm 3.34-3.64
Tb: 0.3506 0.4466 0.1648  1 Tb 3.28, 4 Pm 3.34-3.64
Tb: 0.4466 0.0960 0.8352  1 Tb 3.28, 4 Pm 3.34-3.64
Tb: 0.5534 0.9040 0.1648  1 Tb 3.28, 4 Pm 3.34-3.64
Tb: 0.6494 0.5534 0.8352  1 Tb 3.28, 4 Pm 3.34-3.64
Tb: 0.9040 0.3506 0.8352  1 Tb 3.28, 4 Pm 3.34-3.64
Pm: 0.0401 0.7682 0.6774  1 Pb 3.19, 3 Pm 3.33-3.34, 2 Tb 3.34-3.53
Pm: 0.2318 0.2719 0.6774  1 Pb 3.19, 3 Pm 3.33-3.34, 2 Tb 3.34-3.53
Pm: 0.2719 0.0401 0.3226  1 Pb 3.19, 3 Pm 3.33-3.34, 2 Tb 3.34-3.53
Pm: 0.3333 0.6667 0.6377  3 Pm 3.33
Pm: 0.6667 0.3333 0.3623  3 Pm 3.33
Pm: 0.7281 0.9599 0.6774  1 Pb 3.19, 3 Pm 3.33-3.34, 2 Tb 3.34-3.53
Pm: 0.7682 0.7281 0.3226  1 Pb 3.19, 3 Pm 3.33-3.34, 2 Tb 3.34-3.53
Pm: 0.9599 0.2318 0.3226  1 Pb 3.19, 3 Pm 3.33-3.34, 2 Tb 3.34-3.53
Pb: 0.0000 0.0000 0.0000  6 Pm 3.19

Calculated values
Space-group type ... P-3 (147)
D(E_F) ... 21.4 states/eV/f.u.
Raw total energy ... -68.52 eV/cell

***

[8]
A relaxed structure of TbPmPb6, computed with PBE-GGA.

abc: 4.8991 4.8991 9.8094
angles: 90.00 90.00 90.00
With the nearest neighbours (Å) after each atom.
Atoms (fractional coordinates):
Tb: 0.0000 0.0000 0.0000  12 Pb 3.45-3.46
Pm: 0.0000 0.0000 0.5000  12 Pb 3.46-3.48
Pb: 0.0000 0.5000 0.2475  8 Pb 3.45-3.48, 2 Tb 3.45, 2 Pm 3.48
Pb: 0.0000 0.5000 0.7525  8 Pb 3.45-3.48, 2 Tb 3.45, 2 Pm 3.48
Pb: 0.5000 0.0000 0.2475  8 Pb 3.45-3.48, 2 Tb 3.45, 2 Pm 3.48
Pb: 0.5000 0.0000 0.7525  8 Pb 3.45-3.48, 2 Tb 3.45, 2 Pm 3.48
Pb: 0.5000 0.5000 0.0000  8 Pb 3.45, 4 Tb 3.46
Pb: 0.5000 0.5000 0.5000  4 Pm 3.46, 8 Pb 3.48

Calculated values
Space-group type ... P4/mmm (123)
D(E_F) ... 4.0 states/eV/f.u.
Raw total energy ... -34.25 eV/cell

***

Q: Which of these has the highest D(E_F)?
A: Tb7Pm12Pb

***

Q: raw total energy of number 5 (Tb2Pm3Pb6)?
A: -47.05 eV/cell